# 1
This record from Alexandria describes a geometry-optimized MgGa2Ir structure. The functional is GGA-PBE.

Cell: 7.7798 7.7798 6.0919 Å, 50.32 50.32 90.00°
With the nearest neighbours (Å) after each atom.
Element x y z (fractional)
Ir1 0.7500 0.2500 0.5000  4 Ga 2.47, 2 Mg 2.62
Ga1 0.0517 0.6250 0.2500  2 Ir 2.47
Ir2 0.0000 0.0000 0.0000  4 Ga 2.47, 2 Mg 2.62
Ga2 0.3750 0.3017 0.7500  2 Ir 2.47
Ga3 0.6983 0.1250 0.2500  2 Ir 2.47
Mg1 0.2500 0.7500 0.5000  2 Ir 2.62
Mg2 0.5000 0.5000 0.0000  2 Ir 2.62
Ga4 0.8750 0.9483 0.7500  2 Ir 2.47

Values from the calculation:
The density of states at the Fermi level comes out at 4.37 states/eV/cell. The energy of formation is -69 meV/atom.

# 2
This record from Alexandria describes a geometry-optimized Mg6GaIr structure. The functional is GGA-PBE.

Cell: 6.0192 6.1282 6.1882 Å, 60.32 76.54 61.95°
With the nearest neighbours (Å) after each atom.
Element x y z (fractional)
Mg1 0.7440 0.7438 0.0000  1 Ir 2.54, 1 Ga 2.67
Mg2 0.2541 0.5354 0.4041  1 Ir 2.65, 1 Ga 2.71
Mg3 0.2560 0.2562 0.0000  1 Ir 2.54, 1 Ga 2.67
Mg4 0.7459 0.0605 0.4041  1 Ir 2.65, 1 Ga 2.71
Ir1 0.5000 0.5000 0.0000  6 Mg 2.54-2.65
Ga1 0.0000 0.0000 0.0000  6 Mg 2.67-2.71
Mg5 0.2541 0.9395 0.5959  1 Ir 2.65, 1 Ga 2.71
Mg6 0.7459 0.4646 0.5959  1 Ir 2.65, 1 Ga 2.71

Values from the calculation:
The density of states at the Fermi level comes out at 3.61 states/eV/cell. The energy of formation is 43 meV/atom.

# 3
This record from Alexandria describes a geometry-optimized MgGa2Ir structure. The functional is GGA-PBE.

Cell: 3.3956 3.3956 5.5895 Å, 90.00 90.00 90.00°
With the nearest neighbours (Å) after each atom.
Element x y z (fractional)
Ga1 0.0000 0.0000 0.7698  1 Ga 2.57, 4 Ir 2.72, 4 Mg 2.84
Ga2 0.0000 0.0000 0.2302  1 Ga 2.57, 4 Ir 2.72, 4 Mg 2.84
Ir1 0.5000 0.5000 0.0000  8 Ga 2.72, 2 Mg 2.79
Mg1 0.5000 0.5000 0.5000  2 Ir 2.79, 8 Ga 2.84

Values from the calculation:
The density of states at the Fermi level comes out at 2.21 states/eV/cell. The energy of formation is -226 meV/atom.